VASP calculation (PBE) on a relaxed Rb2LiY2 crystal.

The space group is I4/mmm (No. 139) and the conventional cell measures 4.551, 4.551 and 25.619 Å, with angles of 90.00, 90.00 and 90.00 degrees. The distinct sites, in fractional coordinates, are Rb at (0.000, 0.000, 0.105), Li at (0.000, 0.000, 0.500) and Y at (0.000, 0.500, 0.250).

The calculated density is 2.23 Mg/m³. Its excess energy over the best structure of this formula in the dataset is 0 meV per atom. Its magnetization is 0.00 Bohr magnetons per cell.

---

VASP calculation (PBE) on a relaxed Rb2Li2Y crystal.

The space group is I4/mmm (No. 139) and the conventional cell measures 5.074, 5.074 and 16.318 Å, with angles of 90.00, 90.00 and 90.00 degrees. The distinct sites, in fractional coordinates, are Rb at (0.000, 0.500, 0.250), Li at (0.000, 0.000, 0.078) and Y at (0.000, 0.000, 0.500).

The calculated density is 2.16 Mg/m³. Its excess energy over the best structure of this formula in the dataset is 56 meV per atom. Its magnetization is 0.62 Bohr magnetons per cell.

---

VASP calculation (PBE) on a relaxed Rb2Li2Y crystal.

The space group is P4/mbm (No. 127) and the conventional cell measures 10.559, 10.559 and 3.821 Å, with angles of 90.00, 90.00 and 90.00 degrees. The distinct sites, in fractional coordinates, are Rb at (0.143, 0.357, 0.000), Li at (0.165, 0.665, 0.500) and Y at (0.000, 0.000, 0.500).

The calculated density is 2.13 Mg/m³. Its excess energy over the best structure of this formula in the dataset is 0 meV per atom. Its magnetization is 0.49 Bohr magnetons per cell.

---

VASP calculation (PBE) on a relaxed Rb3LiY crystal.

The space group is Pm-3m (No. 221) and the conventional cell measures 7.579, 7.579 and 7.579 Å, with angles of 90.00, 90.00 and 90.00 degrees. The distinct sites, in fractional coordinates, are Rb at (0.000, 0.000, 0.500), Li at (0.500, 0.500, 0.500) and Y at (0.000, 0.000, 0.000).

The calculated density is 1.34 Mg/m³. Its excess energy over the best structure of this formula in the dataset is 190 meV per atom. Its magnetization is 3.00 Bohr magnetons per cell.

---

VASP calculation (PBE) on a relaxed RbLi2Y crystal.

The space group is I-42d (No. 122) and the conventional cell measures 8.810, 8.810 and 7.378 Å, with angles of 90.00, 90.00 and 90.00 degrees. The distinct sites, in fractional coordinates, are Rb at (0.000, 0.000, 0.000), Li at (0.242, 0.250, 0.625) and Y at (0.000, 0.000, 0.500).

The calculated density is 2.18 Mg/m³. Its magnetization is 2.01 Bohr magnetons per cell.

---

VASP calculation (PBE) on a relaxed RbLiY2 crystal.

The space group is I4_1/amd (No. 141, origin choice 2) and the conventional cell measures 6.033, 6.033 and 22.798 Å, with angles of 90.00, 90.00 and 90.00 degrees. The distinct sites, in fractional coordinates, are Rb at (0.000, 0.250, 0.375), Li at (0.000, 0.250, 0.875) and Y at (0.000, 0.000, 0.000).

The calculated density is 2.16 Mg/m³. Its excess energy over the best structure of this formula in the dataset is 318 meV per atom. Its magnetization is 0.00 Bohr magnetons per cell.

---

VASP calculation (PBE) on a relaxed RbLi3Y crystal.

The space group is Pm-3m (No. 221) and the conventional cell measures 5.375, 5.375 and 5.375 Å, with angles of 90.00, 90.00 and 90.00 degrees. The distinct sites, in fractional coordinates, are Rb at (0.000, 0.000, 0.000), Li at (0.000, 0.000, 0.500) and Y at (0.500, 0.500, 0.500).

The calculated density is 2.09 Mg/m³. Its excess energy over the best structure of this formula in the dataset is 39 meV per atom. Its magnetization is 0.00 Bohr magnetons per cell.

---

VASP calculation (PBE) on a relaxed Rb2LiY2 crystal.

The space group is P4/mbm (No. 127) and the conventional cell measures 7.828, 7.828 and 6.795 Å, with angles of 90.00, 90.00 and 90.00 degrees. The distinct sites, in fractional coordinates, are Rb at (0.150, 0.350, 0.000), Li at (0.000, 0.000, 0.000) and Y at (0.174, 0.674, 0.500).

The calculated density is 2.84 Mg/m³. Its excess energy over the best structure of this formula in the dataset is 269 meV per atom. Its magnetization is 1.83 Bohr magnetons per cell.

---

VASP calculation (PBE) on a relaxed RbLiY2 crystal.

The space group is Fm-3m (No. 225) and the conventional cell measures 8.182, 8.182 and 8.182 Å, with angles of 90.00, 90.00 and 90.00 degrees. The distinct sites, in fractional coordinates, are Rb at (0.000, 0.000, 0.000), Li at (0.000, 0.000, 0.500) and Y at (0.250, 0.250, 0.250).

The calculated density is 3.28 Mg/m³. Its excess energy over the best structure of this formula in the dataset is 0 meV per atom. Its magnetization is 0.00 Bohr magnetons per cell.

---

VASP calculation (PBE) on a relaxed RbLi2Zn crystal.

The space group is R-3m (No. 166, hexagonal axes) and the conventional cell measures 4.7592, 4.7592 and 19.9528 Å, with angles of 90.00, 90.00 and 120.00 degrees. The distinct sites, in fractional coordinates, are Rb at (0.0000, 0.0000, 0.0000), Li at (0.0000, 0.0000, 0.1885) and Zn at (0.0000, 0.0000, 0.5000).

The calculated density is 2.10 Mg/m³. Its magnetization is 0.00 Bohr magnetons per cell.

---

VASP calculation (PBE) on a relaxed RbLiZn4 crystal.

The space group is F-43m (No. 216) and the conventional cell measures 8.042, 8.042 and 8.042 Å, with angles of 90.00, 90.00 and 90.00 degrees. The distinct sites, in fractional coordinates, are Rb at (0.000, 0.000, 0.000), Li at (0.250, 0.250, 0.750) and Zn at (0.121, 0.121, 0.379).

The calculated density is 4.52 Mg/m³. Its magnetization is 0.00 Bohr magnetons per cell.

---

VASP calculation (PBE) on a relaxed Rb2Li2Zn crystal.

The space group is P4/mbm (No. 127) and the conventional cell measures 7.796, 7.796 and 6.349 Å, with angles of 90.00, 90.00 and 90.00 degrees. The distinct sites, in fractional coordinates, are Rb at (0.190, 0.310, 0.000), Li at (0.152, 0.652, 0.500) and Zn at (0.000, 0.000, 0.500).

The calculated density is 2.15 Mg/m³. Its magnetization is 0.00 Bohr magnetons per cell.

---

Table of energy relative to the elements (eV/atom), in record order: 0.5488 0.5705 0.5147 0.9042 0.5928 1.0034 0.7822 0.8179 0.6857 0.0835 0.0984 0.1979